# PBE-GGA SrPmAgRh, optimized geometry
data_SrPmAgRh
_cell_length_a 7.337
_cell_length_b 7.337
_cell_length_c 7.337
_cell_angle_alpha 90.00
_cell_angle_beta 90.00
_cell_angle_gamma 90.00
_space_group_name_H-M_alt 'F -4 3 m'
_space_group_IT_number 216
_space_group_name_Hall 'F -4 2 3'
loop_
_atom_site_label
_atom_site_fract_x
_atom_site_fract_y
_atom_site_fract_z
_atom_site_occupancy
Sr1 0.000 0.000 0.000 1
Pm1 0.000 0.000 0.500 1
Ag1 0.250 0.250 0.750 1
Rh1 0.250 0.250 0.250 1
# - crystal system = cubic
# - DFT formation energy (eV per atom) = -0.310